The following is a DFT calculation (PBE-GGA) of a relaxed structure of CaEr2Ga.

The calculation puts the density at 6.12 g cm⁻³. As for the volume: 121 Å³/f.u. The value obtained for the formation energy is -0.04 eV/atom. The energy relative to the lowest polymorph listed for this composition is 19.16 kJ per mole of atoms. For the total DFT energy (no corrections), the calculation gives -42.905 eV for the cell shown.

It has space group R-3m (No. 166, hexagonal axes), with a = 4.8901 Å, b = 4.8901 Å, c = 17.4710 Å, α = 90.00°, β = 90.00° and γ = 120.00°. Symmetry generates all atoms from Ca at (0.0000, 0.0000, 0.0000), Er at (0.0000, 0.0000, 0.2206) and Ga at (0.0000, 0.0000, 0.5000).



The following is a DFT calculation (PBE-GGA) of a relaxed structure of PrScO.

The calculation puts the density at 5.53 g cm⁻³. As for the volume: 61 Å³/f.u. As for the formation energy (no corrections): -1.73 eV per atom. The energy relative to the lowest polymorph listed for this composition is 0.00 kJ per mole of atoms. For the total DFT energy (no corrections), the calculation gives -21.261 eV for the cell shown.

It has space group P3m1 (No. 156), with a = 3.4177 Å, b = 3.4177 Å, c = 5.9871 Å, α = 90.00°, β = 90.00° and γ = 120.00°. Symmetry generates all atoms from Pr at (0.0000, 0.0000, 0.0000), Sc at (0.3333, 0.6667, 0.4582) and O at (0.6667, 0.3333, 0.3056).



The following is a DFT calculation (PBE-GGA) of a relaxed structure of PuPaGaGe.

The calculation puts the density at 12.05 g cm⁻³. As for the volume: 85 Å³/f.u. The value obtained for the formation energy is -0.37 eV/atom. The energy relative to the lowest polymorph listed for this composition is 0.00 kJ per mole of atoms. For the total DFT energy (no corrections), the calculation gives -32.948 eV for the cell shown.

It has space group Pmm2 (No. 25), with a = 4.159 Å, b = 4.435 Å, c = 4.611 Å, α = 90.00°, β = 90.00° and γ = 90.00°. Symmetry generates all atoms from Pu at (0.000, 0.000, 0.000), Pa at (0.000, 0.500, 0.612), Ga at (0.500, 0.000, 0.506) and Ge at (0.500, 0.500, 0.120).



The following is a DFT calculation (PBE-GGA) of a relaxed structure of Ce4Fe.

The calculation puts the density at 7.46 g cm⁻³. As for the volume: 137 Å³/f.u. The value obtained for the formation energy is 0.16 eV/atom. The energy relative to the lowest polymorph listed for this composition is 0.00 kJ per mole of atoms. For the total DFT energy (no corrections), the calculation gives -31.421 eV for the cell shown.

It has space group Pm-3m (No. 221), with a = 5.158 Å, b = 5.158 Å, c = 5.158 Å, α = 90.00°, β = 90.00° and γ = 90.00°. Symmetry generates all atoms from Ce at (0.000, 0.000, 0.000), Ce at (0.000, 0.500, 0.500) and Fe at (0.500, 0.500, 0.500).